1.
First-principles (PBE-GGA) data for a relaxed structure of AsAu2F2, as listed in the Alexandria database.

Output
formation energy without anion corrections: -0.17 eV per atom
V: 15.4 Å³ per atom
total magnetic moment: 0.0 μB per formula unit

abc: 7.3901 7.3901 2.8252
angles: 90.00 90.00 90.00
Last column: nearest neighbours and their distance in Å.
Space group P4/mbm (No. 127)
Unique sites:
As: 0.0000 0.0000 0.0000 [2 per cell]  2 As 2.83, 4 F 2.89, 8 Au 3.11
Au: 0.1610 0.3390 0.5000 [4 per cell]  6 F 2.58-2.59, 2 Au 2.83
F: 0.1319 0.6319 0.0000 [4 per cell]  6 Au 2.58-2.59, 3 F 2.76-2.83, 2 As 2.89


2.
First-principles (PBE-GGA) data for a relaxed structure of As2AuF, as listed in the Alexandria database.

Output
formation energy without anion corrections: -0.32 eV per atom
V: 16.0 Å³ per atom
total magnetic moment: 0.0 μB per formula unit

abc: 6.3466 6.3466 6.3466
angles: 90.00 90.00 90.00
Last column: nearest neighbours and their distance in Å.
Space group Fm-3m (No. 225)
Unique sites:
As: 0.2500 0.2500 0.2500 [8 per cell]  4 F 2.75, 4 Au 2.75
Au: 0.0000 0.0000 0.0000 [4 per cell]  8 As 2.75
F: 0.0000 0.0000 0.5000 [4 per cell]  8 As 2.75


3.
First-principles (PBE-GGA) data for a relaxed structure of AsAuF3, as listed in the Alexandria database.

Output
formation energy without anion corrections: -0.30 eV per atom
V: 17.4 Å³ per atom
total magnetic moment: 2.0 μB per formula unit

abc: 4.4330 4.4330 4.4330
angles: 90.00 90.00 90.00
Last column: nearest neighbours and their distance in Å.
Space group Pm-3m (No. 221)
Unique sites:
As: 0.0000 0.0000 0.0000 [1 per cell]  12 F 3.13
Au: 0.5000 0.5000 0.5000 [1 per cell]  6 F 2.22
F: 0.0000 0.5000 0.5000 [3 per cell]  2 Au 2.22


4.
First-principles (PBE-GGA) data for a relaxed structure of AsAuF2, as listed in the Alexandria database.

Output
formation energy without anion corrections: -0.93 eV per atom
V: 16.1 Å³ per atom
total magnetic moment: 0.0 μB per formula unit

abc: 2.8474 2.8474 27.4880
angles: 90.00 90.00 120.00
Last column: nearest neighbours and their distance in Å.
Space group R-3m (No. 166, hexagonal axes)
Unique sites:
As: 0.0000 0.0000 0.0000 [3 per cell]  2 F 1.85
Au: 0.0000 0.0000 0.5000 [3 per cell]  6 Au 2.85
F: 0.0000 0.0000 0.0672 [6 per cell]  1 As 1.85


5.
First-principles (PBE-GGA) data for a relaxed structure of AsAu3F, as listed in the Alexandria database.

Output
formation energy without anion corrections: 0.48 eV per atom
V: 19.6 Å³ per atom
total magnetic moment: 0.0 μB per formula unit

abc: 4.6106 4.6106 4.6106
angles: 90.00 90.00 90.00
Last column: nearest neighbours and their distance in Å.
Space group Pm-3m (No. 221)
Unique sites:
As: 0.0000 0.0000 0.0000 [1 per cell]  12 Au 3.26
Au: 0.0000 0.5000 0.5000 [3 per cell]  2 F 2.31
F: 0.5000 0.5000 0.5000 [1 per cell]  6 Au 2.31


6.
First-principles (PBE-GGA) data for a relaxed structure of AsAuF2, as listed in the Alexandria database.

Output
formation energy without anion corrections: -0.72 eV per atom
V: 15.9 Å³ per atom
total magnetic moment: 0.0 μB per formula unit

abc: 2.8313 2.8313 27.4345
angles: 90.00 90.00 120.00
Last column: nearest neighbours and their distance in Å.
Space group R-3m (No. 166, hexagonal axes)
Unique sites:
As: 0.0000 0.0000 0.0000 [3 per cell]  6 F 2.32
Au: 0.0000 0.0000 0.5000 [3 per cell]  6 Au 2.83, 2 F 2.93
F: 0.0000 0.0000 0.3932 [6 per cell]  3 As 2.32


7.
First-principles (PBE-GGA) data for a relaxed structure of AsAu2F2, as listed in the Alexandria database.

Output
formation energy without anion corrections: -0.29 eV per atom
V: 17.1 Å³ per atom
total magnetic moment: 0.0 μB per formula unit

abc: 5.2774 5.2774 6.1266
angles: 90.00 90.00 90.00
Last column: nearest neighbours and their distance in Å.
Space group I4/mmm (No. 139)
Unique sites:
As: 0.0000 0.0000 0.0000 [2 per cell]  2 F 1.96
Au: 0.0000 0.5000 0.2500 [4 per cell]  4 F 2.67
F: 0.0000 0.0000 0.3196 [4 per cell]  1 As 1.96


8.
First-principles (PBE-GGA) data for a relaxed structure of AsAuF2, as listed in the Alexandria database.

Output
formation energy without anion corrections: -0.37 eV per atom
V: 14.2 Å³ per atom
total magnetic moment: 0.0 μB per formula unit

abc: 6.1056 6.1056 6.1056
angles: 90.00 90.00 90.00
Last column: nearest neighbours and their distance in Å.
Space group Fm-3m (No. 225)
Unique sites:
As: 0.0000 0.0000 0.0000 [4 per cell]  8 F 2.64
Au: 0.0000 0.0000 0.5000 [4 per cell]  8 F 2.64
F: 0.2500 0.2500 0.2500 [8 per cell]  4 Au 2.64, 4 As 2.64


9.
First-principles (PBE-GGA) data for a relaxed structure of AsAu3F, as listed in the Alexandria database.

Output
formation energy without anion corrections: 0.21 eV per atom
V: 23.5 Å³ per atom
total magnetic moment: 0.0 μB per formula unit

abc: 4.8947 4.8947 4.8947
angles: 90.00 90.00 90.00
Last column: nearest neighbours and their distance in Å.
Space group Pm-3m (No. 221)
Unique sites:
As: 0.0000 0.0000 0.0000 [1 per cell]  6 Au 2.45
Au: 0.0000 0.0000 0.5000 [3 per cell]  2 As 2.45
F: 0.5000 0.5000 0.5000 [1 per cell]  12 Au 3.46


10.
First-principles (PBE-GGA) data for a relaxed structure of HgAs2AuF, as listed in the Alexandria database.

Output
formation energy without anion corrections: 0.19 eV per atom
V: 22.4 Å³ per atom
total magnetic moment: 0.0 μB per formula unit

abc: 5.0840 5.0840 4.3378
angles: 90.00 90.00 90.00
Last column: nearest neighbours and their distance in Å.
Space group P4/mmm (No. 123)
Unique sites:
Hg: 0.0000 0.0000 0.0000 [1 per cell]  8 As 3.34, 4 F 3.59
As: 0.0000 0.5000 0.5000 [2 per cell]  2 Au 2.54
Au: 0.5000 0.5000 0.5000 [1 per cell]  2 F 2.17
F: 0.5000 0.5000 0.0000 [1 per cell]  2 Au 2.17


11.
First-principles (PBE-GGA) data for a relaxed structure of AsAuIF2, as listed in the Alexandria database.

Output
formation energy without anion corrections: -0.05 eV per atom
V: 22.2 Å³ per atom
total magnetic moment: 1.2 μB per formula unit

abc: 4.3798 4.3798 5.7881
angles: 90.00 90.00 90.00
Last column: nearest neighbours and their distance in Å.
Space group P4/mmm (No. 123)
Unique sites:
As: 0.0000 0.0000 0.0000 [1 per cell]  4 Au 3.10
Au: 0.5000 0.5000 0.0000 [1 per cell]  2 I 2.89, 4 As 3.10
I: 0.5000 0.5000 0.5000 [1 per cell]  4 F 2.19
F: 0.0000 0.5000 0.5000 [2 per cell]  2 I 2.19


12.
First-principles (PBE-GGA) data for a relaxed structure of LaAsAuF, as listed in the Alexandria database.

Output
formation energy without anion corrections: -1.90 eV per atom
V: 19.3 Å³ per atom
total magnetic moment: 0.0 μB per formula unit

abc: 4.1941 4.1941 8.7849
angles: 90.00 90.00 90.00
Last column: nearest neighbours and their distance in Å.
Space group P4/nmm (No. 129, origin choice 2)
Unique sites:
La: 0.2500 0.2500 0.1817 [2 per cell]  4 F 2.64
As: 0.2500 0.2500 0.7043 [2 per cell]  4 Au 2.76
Au: 0.2500 0.7500 0.5000 [2 per cell]  4 As 2.76, 4 Au 2.97
F: 0.2500 0.7500 0.0000 [2 per cell]  4 La 2.64


Q: Which value of total magnetic moment does entry 9 give?
A: 0.0 μB per formula unit